The following is a DFT calculation (GGA-PBEsol) of a geometry-optimized B4H5 structure.

Cell: 5.681 13.223 16.417 Å, 90.00 99.16 90.00°
Atoms (fractional coordinates):
B 0.004 0.195 0.314
B 0.004 0.305 0.814
B 0.033 0.600 0.260
B 0.033 0.900 0.760
B 0.050 0.522 0.780
B 0.050 0.570 0.155
B 0.050 0.930 0.655
B 0.050 0.978 0.280
B 0.073 0.183 0.009
B 0.073 0.317 0.509
B 0.175 0.137 0.403
B 0.175 0.363 0.903
B 0.193 0.194 0.503
B 0.193 0.306 0.003
B 0.203 0.187 0.240
B 0.203 0.313 0.740
B 0.207 0.501 0.881
B 0.207 0.999 0.381
B 0.210 0.102 0.948
B 0.210 0.398 0.448
B 0.225 0.042 0.215
B 0.225 0.458 0.715
B 0.303 0.220 0.343
B 0.303 0.280 0.843
B 0.354 0.535 0.798
B 0.354 0.965 0.298
B 0.375 0.194 0.007
B 0.375 0.306 0.507
B 0.418 0.173 0.902
B 0.418 0.327 0.402
B 0.428 0.201 0.444
B 0.428 0.299 0.944
B 0.572 0.701 0.056
B 0.572 0.799 0.556
B 0.582 0.673 0.598
B 0.582 0.827 0.098
B 0.625 0.694 0.493
B 0.625 0.806 0.993
B 0.646 0.035 0.702
B 0.646 0.465 0.202
B 0.697 0.720 0.157
B 0.697 0.780 0.657
B 0.775 0.542 0.285
B 0.775 0.958 0.785
B 0.790 0.602 0.552
B 0.790 0.898 0.052
B 0.793 0.001 0.619
B 0.793 0.499 0.119
B 0.797 0.687 0.260
B 0.797 0.813 0.760
B 0.807 0.694 0.997
B 0.807 0.806 0.497
B 0.825 0.637 0.097
B 0.825 0.863 0.597
B 0.927 0.683 0.491
B 0.927 0.817 0.991
B 0.950 0.022 0.720
B 0.950 0.070 0.345
B 0.950 0.430 0.845
B 0.950 0.478 0.220
B 0.967 0.100 0.240
B 0.967 0.400 0.740
B 0.996 0.695 0.186
B 0.996 0.805 0.686
H 0.018 0.634 0.561
H 0.018 0.866 0.061
H 0.022 0.727 0.025
H 0.022 0.773 0.525
H 0.036 0.655 0.439
H 0.036 0.845 0.939
H 0.073 0.094 0.741
H 0.073 0.406 0.241
H 0.142 0.739 0.684
H 0.142 0.761 0.184
H 0.190 0.142 0.563
H 0.190 0.358 0.063
H 0.193 0.607 0.318
H 0.193 0.893 0.818
H 0.210 0.012 0.955
H 0.210 0.488 0.455
H 0.218 0.558 0.939
H 0.218 0.942 0.439
H 0.219 0.129 0.868
H 0.219 0.244 0.185
H 0.219 0.256 0.685
H 0.219 0.371 0.368
H 0.225 0.550 0.126
H 0.225 0.950 0.626
H 0.243 0.022 0.145
H 0.243 0.478 0.645
H 0.385 0.659 0.036
H 0.385 0.841 0.536
H 0.414 0.627 0.615
H 0.414 0.873 0.115
H 0.423 0.185 0.286
H 0.423 0.315 0.786
H 0.429 0.014 0.370
H 0.429 0.486 0.870
H 0.446 0.039 0.255
H 0.446 0.461 0.755
H 0.479 0.607 0.795
H 0.479 0.672 0.435
H 0.479 0.828 0.935
H 0.479 0.893 0.295
H 0.521 0.107 0.705
H 0.521 0.172 0.065
H 0.521 0.328 0.565
H 0.521 0.393 0.205
H 0.554 0.539 0.245
H 0.554 0.961 0.745
H 0.571 0.514 0.130
H 0.571 0.986 0.630
H 0.577 0.685 0.214
H 0.577 0.815 0.714
H 0.586 0.127 0.885
H 0.586 0.373 0.385
H 0.615 0.159 0.464
H 0.615 0.341 0.964
H 0.757 0.522 0.355
H 0.757 0.978 0.855
H 0.775 0.050 0.374
H 0.775 0.450 0.874
H 0.781 0.629 0.632
H 0.781 0.744 0.315
H 0.781 0.756 0.815
H 0.781 0.871 0.132
H 0.782 0.058 0.561
H 0.782 0.442 0.061
H 0.790 0.512 0.545
H 0.790 0.988 0.045
H 0.807 0.107 0.182
H 0.807 0.393 0.682
H 0.810 0.642 0.937
H 0.810 0.858 0.437
H 0.858 0.239 0.816
H 0.858 0.261 0.316
H 0.927 0.594 0.759
H 0.927 0.906 0.259
H 0.964 0.155 0.061
H 0.964 0.345 0.561
H 0.978 0.227 0.475
H 0.978 0.273 0.975
H 0.982 0.134 0.939
H 0.982 0.366 0.439

Output
- E_tot: -721.2 eV for the cell shown
- Crystal system: monoclinic
- Calculated density: 1.05 g cm⁻³
- D(E_F): 0.00 states/eV per cell